Density functional theory data (GGA-PBE) for crystalline CuAuBr3 at its relaxed geometry.

Unit cell a=3.735 b=7.588 c=10.953 alpha=97.46 beta=90.00 gamma=104.25
Positions (direct):
Au1 0.035 0.070 0.370
Au2 0.965 0.930 0.630
Br1 0.160 0.320 0.082
Br2 0.840 0.680 0.918
Br3 0.112 0.223 0.773
Br4 0.647 0.294 0.449
Br5 0.888 0.777 0.227
Br6 0.353 0.706 0.551
Cu1 0.349 0.699 0.069
Cu2 0.651 0.301 0.931

Calculated values
**Density of states at the Fermi level**: 3.6 states/eV/f.u.
**Formation energy from raw total energies**: -129 meV/atom
**Symmetry**: C2/m, No. 12
**ρ**: 5.571 g/cm3
**Total energy**: -26.070 eV/cell
**Relative energy among the computed polymorphs**: 6 kJ/mol of formula units

---

Density functional theory data (GGA-PBE) for crystalline CuAuBr2 at its relaxed geometry.

Unit cell a=3.441 b=3.441 c=7.143 alpha=90.00 beta=90.00 gamma=90.00
Positions (direct):
Br1 0.000 0.000 0.482
Br2 0.000 0.000 0.018
Cu1 0.500 0.500 0.250
Au1 0.500 0.500 0.750

Calculated values
**Density of states at the Fermi level**: 2.6 states/eV/f.u.
**Formation energy from raw total energies**: 359 meV/atom
**Symmetry**: P4/mmm, No. 123
**ρ**: 8.251 g/cm3
**Total energy**: -9.285 eV/cell
**Relative energy among the computed polymorphs**: 181 kJ/mol of formula units

---

Density functional theory data (GGA-PBE) for crystalline CuAuBr2 at its relaxed geometry.

Unit cell a=6.942 b=6.942 c=4.679 alpha=83.10 beta=83.10 gamma=30.64
Positions (direct):
Br1 0.384 0.384 0.568
Br2 0.116 0.116 0.932
Au1 0.250 0.250 0.250
Cu1 0.750 0.750 0.750

Calculated values
**Formation energy from raw total energies**: -98 meV/atom
**Symmetry**: C2/m, No. 12
**ρ**: 6.122 g/cm3
**Total energy**: -11.113 eV/cell
**Relative energy among the computed polymorphs**: 4 kJ/mol of formula units

---

Density functional theory data (GGA-PBE) for crystalline Cu2AuBr8 at its relaxed geometry.

Unit cell a=6.828 b=7.765 c=7.765 alpha=86.21 beta=99.84 gamma=99.84
Last column: magnetic moment on the atom in μB.
Positions (direct):
Cu1 0.300 0.783 0.783  0.29
Cu2 0.700 0.217 0.217  0.29
Br1 0.393 0.270 0.270  0.09
Br2 0.820 0.436 0.436  0.05
Br3 0.607 0.730 0.730  0.09
Br4 0.830 0.936 0.262  0.03
Br5 0.180 0.564 0.564  0.05
Br6 0.830 0.262 0.936  0.03
Br7 0.170 0.738 0.064  0.03
Br8 0.170 0.064 0.738  0.03
Au1 0.000 0.000 0.000  0.00

Calculated values
**Density of states at the Fermi level**: 9.5 states/eV/f.u.
**Formation energy from raw total energies**: -146 meV/atom
**Symmetry**: C2/m, No. 12
**ρ**: 4.005 g/cm3
**Total energy**: -26.464 eV/cell
**Relative energy among the computed polymorphs**: 0 kJ/mol of formula units

---

Density functional theory data (GGA-PBE) for crystalline CuAu4Br at its relaxed geometry.

Unit cell a=5.571 b=5.571 c=5.571 alpha=60.00 beta=60.00 gamma=60.00
Positions (direct):
Cu1 0.000 0.000 0.000
Au1 0.375 0.876 0.375
Au2 0.876 0.375 0.375
Au3 0.375 0.375 0.876
Au4 0.375 0.375 0.375
Br1 0.750 0.750 0.750

Calculated values
**Density of states at the Fermi level**: 0.5 states/eV/f.u.
**Formation energy from raw total energies**: 303 meV/atom
**Symmetry**: F-43m, No. 216
**ρ**: 12.648 g/cm3
**Total energy**: -17.062 eV/cell

---

Density functional theory data (GGA-PBE) for crystalline CuAuBr2 at its relaxed geometry.

Unit cell a=7.943 b=7.943 c=7.943 alpha=153.44 beta=152.26 gamma=38.78
Positions (direct):
Br1 0.749 0.249 0.500
Br2 0.989 0.989 0.000
Au1 0.317 0.817 0.500
Cu1 0.445 0.445 0.000

Calculated values
**Density of states at the Fermi level**: 0.6 states/eV/f.u.
**Formation energy from raw total energies**: 68 meV/atom
**Symmetry**: Imm2, No. 44
**ρ**: 6.703 g/cm3
**Total energy**: -10.449 eV/cell
**Relative energy among the computed polymorphs**: 68 kJ/mol of formula units

---

Density functional theory data (GGA-PBE) for crystalline CuAuBr2 at its relaxed geometry.

Unit cell a=3.783 b=4.237 c=6.895 alpha=86.58 beta=90.00 gamma=90.00
Positions (direct):
Br1 0.000 0.015 0.894
Br2 0.500 0.437 0.358
Cu1 0.000 0.292 0.584
Au1 0.500 0.756 0.664

Calculated values
**Formation energy from raw total energies**: -109 meV/atom
**Symmetry**: Pm, No. 6
**ρ**: 6.328 g/cm3
**Total energy**: -11.157 eV/cell
**Relative energy among the computed polymorphs**: 0 kJ/mol of formula units

---

Density functional theory data (GGA-PBE) for crystalline Cu3AuBr9 at its relaxed geometry.

Unit cell a=8.611 b=8.611 c=10.997 alpha=90.00 beta=90.00 gamma=98.64
Last column: magnetic moment on the atom in μB.
Positions (direct):
Br1 0.901 0.579 0.567  0.05
Br2 0.482 0.679 0.668  0.01
Br3 0.523 0.751 0.098  0.04
Br4 0.163 0.932 0.584  0.06
Br5 0.751 0.523 0.902  0.04
Br6 0.099 0.421 0.067  0.05
Br7 0.932 0.163 0.416  0.06
Br8 0.164 0.836 0.250  0.07
Br9 0.579 0.901 0.433  0.05
Br10 0.321 0.518 0.832  0.01
Br11 0.477 0.249 0.598  0.04
Br12 0.068 0.837 0.916  0.06
Br13 0.837 0.068 0.084  0.06
Br14 0.421 0.099 0.933  0.05
Br15 0.249 0.477 0.402  0.04
Br16 0.836 0.164 0.750  0.07
Br17 0.679 0.482 0.332  0.01
Br18 0.518 0.321 0.168  0.01
Cu1 0.707 0.118 0.555  0.22
Cu2 0.680 0.680 0.500  0.04
Cu3 0.882 0.293 0.945  0.22
Cu4 0.293 0.882 0.055  0.22
Cu5 0.118 0.707 0.445  0.22
Cu6 0.320 0.320 0.000  0.04
Au1 0.208 0.208 0.500  0.00
Au2 0.792 0.792 0.000  0.00

Calculated values
**Density of states at the Fermi level**: 7.3 states/eV/f.u.
**Formation energy from raw total energies**: -162 meV/atom
**Symmetry**: C222_1, No. 20
**ρ**: 4.559 g/cm3
**Total energy**: -65.450 eV/cell

---

| no. | total magnetization (Bohr magnetons per cell) |
| --- | --- |
| 1 | 0.16 |
| 2 | 0.00 |
| 3 | 0.00 |
| 4 | 1.12 |
| 5 | 0.00 |
| 6 | 0.00 |
| 7 | 0.00 |
| 8 | 1.98 |